<one>
Below is a relaxed GaTeAuN2 crystal, with properties calculated at the PBE-GGA level.

POSCAR file:
```
GaTeAuN2
1.0
3.954 0.000 0.000
0.000 3.954 0.000
0.000 0.000 6.180
Ga Te Au N
1 1 1 2
direct
0.000 0.000 0.000
0.000 0.000 0.500
0.500 0.500 0.500
0.000 0.500 0.000
0.500 0.000 0.000
```

Values from the calculation:
density = 7.26 g/cm3
spin magnetization = 3.503 Bohr magnetons per cell

---

<two>
Below is a relaxed GaTeAuN2 crystal, with properties calculated at the PBE-GGA level.

POSCAR file:
```
GaTeAuN2
1.0
3.997 0.000 0.000
0.000 3.997 0.000
0.000 0.000 8.102
Ga Te Au N
1 1 1 2
direct
0.000 0.000 0.000
0.500 0.500 0.000
0.500 0.500 0.500
0.000 0.500 0.500
0.500 0.000 0.500
```

Values from the calculation:
density = 5.42 g/cm3
spin magnetization = 3.197 Bohr magnetons per cell

---

<one> is favored, and the nearest alternative lies 299 meV/atom above it.

---

<one>
Below is a relaxed Na2Ga2Au crystal, with properties calculated at the PBE-GGA level.

POSCAR file:
```
Na2Ga2Au
1.0
4.566 -3.744 0.000
4.566 3.744 0.000
0.000 0.000 7.411
Na Ga Au
4 4 2
direct
0.190 0.190 0.000
0.190 0.190 0.500
0.810 0.810 0.000
0.810 0.810 0.500
0.330 0.670 0.587
0.330 0.670 0.913
0.670 0.330 0.087
0.670 0.330 0.413
0.338 0.662 0.250
0.662 0.338 0.750
```

Values from the calculation:
density = 5.01 g/cm3
spin magnetization = 0.000 Bohr magnetons per cell

---

<two>
Below is a relaxed Na2Ga2Au crystal, with properties calculated at the PBE-GGA level.

POSCAR file:
```
Na2Ga2Au
1.0
4.663 -2.897 0.000
4.663 2.897 0.000
-1.363 0.000 8.589
Na Ga Au
4 4 2
direct
0.041 0.267 0.171
0.267 0.041 0.671
0.733 0.959 0.329
0.959 0.733 0.829
0.240 0.509 0.493
0.491 0.760 0.007
0.509 0.240 0.993
0.760 0.491 0.507
0.426 0.574 0.250
0.574 0.426 0.750
```

Values from the calculation:
density = 5.47 g/cm3
spin magnetization = 0.000 Bohr magnetons per cell

---

<three>
Below is a relaxed Na2Ga2Au crystal, with properties calculated at the PBE-GGA level.

POSCAR file:
```
Na2Ga2Au
1.0
3.915 0.000 0.000
0.000 3.915 0.000
0.000 0.000 14.242
Na Ga Au
4 4 2
direct
0.000 0.500 0.250
0.000 0.500 0.750
0.500 0.000 0.250
0.500 0.000 0.750
0.000 0.000 0.087
0.000 0.000 0.913
0.500 0.500 0.413
0.500 0.500 0.587
0.000 0.000 0.500
0.500 0.500 0.000
```

Values from the calculation:
density = 5.82 g/cm3
spin magnetization = 0.000 Bohr magnetons per cell

---

<two> is favored, and the nearest alternative lies 76 meV/atom above it.